# PBE+U In2Te2MoO10, relaxed
# raw total energy	-356.0	eV for the cell shown
# theoretical density	5.6	Mg/m³
# density of states at the Fermi level	0.000	states/eV per cell
data_In2Te2MoO10
_symmetry_space_group_name_H-M 'P 1 21/c 1'
_symmetry_Int_Tables_number 14
_cell_length_a 12.1878
_cell_length_b 5.4723
_cell_length_c 17.0388
_cell_angle_alpha 90.00
_cell_angle_beta 129.28
_cell_angle_gamma 90.00
loop_
_symmetry_equiv_pos_as_xyz
'x,y,z'
'-x,-y,-z'
'-x,y+1/2,-z+1/2'
'x,-y+1/2,z+1/2'
loop_
_atom_site_label
_atom_site_fract_x
_atom_site_fract_y
_atom_site_fract_z
In1 0.0268 0.2020 0.1812
In2 0.1864 0.7407 0.1243
Te1 0.1766 0.1895 0.4570
Te2 0.3776 0.2374 0.7530
Mo1 0.3161 0.7328 0.3831
O1 0.0098 0.1172 0.9126
O2 0.0803 0.0422 0.3217
O3 0.1030 0.6006 0.9775
O4 0.1813 0.5322 0.3709
O5 0.1971 0.0863 0.7091
O6 0.2529 0.5743 0.7714
O7 0.2770 0.0809 0.1276
O8 0.3788 0.5740 0.9864
O9 0.3909 0.5515 0.1953
O10 0.4564 0.5631 0.4072